1.
# Ba6Sn2F PBE relaxed
data_Ba6Sn2F
_chemical_formula_sum 'Ba12 Sn4 F2'
_cell_length_a 7.683
_cell_length_b 9.527
_cell_length_c 10.913
_cell_angle_alpha 90.00
_cell_angle_beta 90.80
_cell_angle_gamma 90.00
_space_group_name_H-M_alt 'P 1'
_space_group_IT_number 1
_space_group_name_Hall 'P 1'
loop_
_atom_site_label
_atom_site_fract_x
_atom_site_fract_y
_atom_site_fract_z
Ba1 0.889 0.968 0.261
Ba2 0.840 0.672 0.563
Ba3 0.833 0.670 0.941
Ba4 0.667 0.170 0.559
Ba5 0.660 0.172 0.937
Ba6 0.611 0.468 0.239
Ba7 0.111 0.032 0.739
Ba8 0.160 0.328 0.437
Ba9 0.167 0.330 0.059
Ba10 0.333 0.830 0.441
Ba11 0.340 0.828 0.063
Ba12 0.389 0.532 0.761
Sn1 0.946 0.382 0.751
Sn2 0.554 0.882 0.749
Sn3 0.446 0.118 0.251
Sn4 0.054 0.618 0.249
F1 0.500 0.500 0.000
F2 0.000 0.000 0.500
# DFT total energy ... -59.904 eV for the cell shown
# Formation energy (no corrections) ... -8.5 eV per formula unit

=====

2.
# ErSi PBE relaxed
data_ErSi
_chemical_formula_sum 'Er4 Si4'
_cell_length_a 4.245
_cell_length_b 6.264
_cell_length_c 6.692
_cell_angle_alpha 90.00
_cell_angle_beta 108.53
_cell_angle_gamma 90.00
_space_group_name_H-M_alt 'P 1'
_space_group_IT_number 1
_space_group_name_Hall 'P 1'
loop_
_atom_site_label
_atom_site_fract_x
_atom_site_fract_y
_atom_site_fract_z
Si1 0.902 0.054 0.805
Si2 0.098 0.946 0.195
Si3 0.098 0.554 0.195
Si4 0.902 0.446 0.805
Er1 0.725 0.750 0.449
Er2 0.275 0.250 0.551
Er3 0.450 0.750 0.901
Er4 0.550 0.250 0.099
# DFT total energy ... -46.352 eV for the cell shown
# Formation energy (no corrections) ... -1.6 eV per formula unit

=====

3.
# PaIn2Se3 PBE relaxed
data_PaIn2Se3
_chemical_formula_sum 'Pa2 In4 Se6'
_cell_length_a 7.357
_cell_length_b 7.357
_cell_length_c 7.999
_cell_angle_alpha 98.47
_cell_angle_beta 98.47
_cell_angle_gamma 118.36
_space_group_name_H-M_alt 'P 1'
_space_group_IT_number 1
_space_group_name_Hall 'P 1'
loop_
_atom_site_label
_atom_site_fract_x
_atom_site_fract_y
_atom_site_fract_z
Pa1 0.004 0.996 0.000
Pa2 0.662 0.338 0.000
In1 0.833 0.167 0.500
In2 0.333 0.667 0.000
In3 0.182 0.818 0.500
In4 0.485 0.515 0.500
Se1 0.636 0.970 0.798
Se2 0.030 0.364 0.202
Se3 0.882 0.590 0.775
Se4 0.256 0.216 0.775
Se5 0.410 0.118 0.225
Se6 0.784 0.744 0.225
# DFT total energy ... -60.603 eV for the cell shown
# Formation energy (no corrections) ... -4.9 eV per formula unit